A plane-wave DFT calculation with PBE was carried out for an optimized crystal structure of PrFeB2Ru.

## Properties
For the formation energy from the elements, the calculation gives -0.37 eV/atom.

CIF file:
```
data_PrFeB2Ru
_symmetry_space_group_name_H-M 'I -4 m 2'
_symmetry_Int_Tables_number 119
_symmetry_space_group_name_Hall 'I -4 -2'
_cell_length_a 3.8020
_cell_length_b 3.8020
_cell_length_c 10.0990
_cell_angle_alpha 90.00
_cell_angle_beta 90.00
_cell_angle_gamma 90.00
loop_
_atom_site_label
_atom_site_type_symbol
_atom_site_fract_x
_atom_site_fract_y
_atom_site_fract_z
Pr1 Pr 0.0000 0.0000 0.0000
Fe1 Fe 0.0000 0.5000 0.2500
B1 B 0.0000 0.0000 0.3315
Ru1 Ru 0.0000 0.5000 0.7500
```